Crystalline Mn2AlIn at its relaxed geometry. Source: Alexandria via LeMat-Bulk, functional PBE-GGA.

```
Mn2AlIn
1.0
1.465 0.846 8.724
-1.465 0.846 8.724
0.000 -1.692 8.724
Mn Al In
2 1 1
Direct
0.245 0.245 0.245 Mn
0.755 0.755 0.755 Mn
0.500 0.500 0.500 Al
0.000 0.000 0.000 In
```

Results
- total magnetization (Bohr magnetons per cell) = 6.0
- symmetry = R-3m (166)
- ΔE_f (meV per atom) = 197